The following is a PBE calculation of a relaxed structure of AsOsAuSe2, from Alexandria via LeMat-Bulk.

The raw total energy is -22.1 eV/f.u. The calculation puts the magnetization at 0.000 Bohr magnetons per cell. For the volume, the calculation gives 23.21 Å³/atom. The crystal system is tetragonal. The calculation puts the polymorph energy (0 for the lowest one) at 0 meV per atom.

It has space group P4/mmm (No. 123), with a = 4.9690 Å, b = 4.9690 Å, c = 4.7005 Å, α = 90.00°, β = 90.00° and γ = 90.00°. Symmetry generates all atoms from As at (0.0000, 0.0000, 0.0000), Os at (0.0000, 0.0000, 0.5000), Au at (0.5000, 0.5000, 0.0000) and Se at (0.0000, 0.5000, 0.5000).